No. 1
# FeCuBiW

A relaxed FeCuBiW crystal (GGA-PBE, OQMD).

Summary:
- Relative energy among the computed polymorphs: 21 meV/atom
- Mass density: 12.75 g/cm3

a = 6.438 Å, b = 6.438 Å, c = 6.438 Å
α = 90.00°, β = 90.00°, γ = 90.00°
Space group F-43m (No. 216)
Asymmetric unit:
Fe: 0.000 0.000 0.000 x4
Cu: 0.250 0.250 0.750 x4
Bi: 0.000 0.000 0.500 x4
W: 0.250 0.250 0.250 x4

No. 2
# CsHoHgO3

A relaxed CsHoHgO3 crystal (GGA-PBE, OQMD).

Summary:
- VASP energy: -127.574 eV for the cell shown
- Mass density: 7.39 g/cm3

a = 3.641 Å, b = 14.939 Å, c = 9.031 Å
α = 90.00°, β = 90.00°, γ = 90.00°
Space group Cmcm (No. 63)
Asymmetric unit:
Cs: 0.000 0.187 0.250 x4
Ho: 0.000 0.500 0.000 x4
Hg: 0.000 0.099 0.750 x4
O: 0.000 0.097 0.523 x8
O: 0.000 0.475 0.750 x4

No. 3
# TbSi3Pd4

A relaxed TbSi3Pd4 crystal (GGA-PBE, OQMD).

Summary:
- VASP energy: -46.313 eV for the cell shown
- Mass density: 8.29 g/cm3

a = 5.768 Å, b = 3.786 Å, c = 6.156 Å
α = 90.00°, β = 94.67°, γ = 90.00°
Space group Pm (No. 6)
Asymmetric unit:
Tb: 0.000 0.000 0.000 x1
Si: 0.204 0.500 0.621 x1
Si: 0.480 0.000 0.799 x1
Si: 0.733 0.500 0.298 x1
Pd: 0.414 0.500 0.030 x1
Pd: 0.432 0.000 0.397 x1
Pd: 0.720 0.500 0.696 x1
Pd: 0.955 0.000 0.472 x1

No. 4
# RbZrOs

A relaxed RbZrOs crystal (GGA-PBE, OQMD).

Summary:
- Relative energy among the computed polymorphs: 1242 meV/atom
- Mass density: 8.53 g/cm3

a = 6.586 Å, b = 6.586 Å, c = 6.586 Å
α = 90.00°, β = 90.00°, γ = 90.00°
Space group F-43m (No. 216)
Asymmetric unit:
Rb: 0.000 0.000 0.000 x4
Zr: 0.250 0.250 0.250 x4
Os: 0.250 0.250 0.750 x4

No. 5
# Nd5Si4

A relaxed Nd5Si4 crystal (GGA-PBE, OQMD).

Summary:
- Relative energy among the computed polymorphs: 0 meV/atom
- Mass density: 5.88 g/cm3

a = 7.895 Å, b = 7.895 Å, c = 15.115 Å
α = 90.00°, β = 90.00°, γ = 90.00°
Space group P4_12_12 (No. 92)
Asymmetric unit:
Nd: 0.011 0.376 0.051 x8
Nd: 0.019 0.872 0.124 x8
Nd: 0.190 0.810 0.750 x4
Si: 0.076 0.711 0.940 x8
Si: 0.168 0.196 0.799 x8

No. 6
# Li6Zr2O7

A relaxed Li6Zr2O7 crystal (GGA-PBE, OQMD).

Summary:
- VASP energy: -100.972 eV for the cell shown
- Mass density: 3.50 g/cm3

a = 5.303 Å, b = 5.337 Å, c = 6.013 Å
α = 72.47°, β = 89.02°, γ = 79.34°
Space group P-1 (No. 2)
Asymmetric unit:
Li: 0.060 0.244 0.430 x2
Li: 0.364 0.672 0.323 x2
Li: 0.374 0.720 0.834 x2
Zr: 0.145 0.250 0.920 x2
O: 0.008 0.002 0.757 x2
O: 0.232 0.482 0.130 x2
O: 0.267 0.497 0.634 x2
O: 0.500 0.000 0.000 x1

No. 7
# LiTaCuTeS2

A relaxed LiTaCuTeS2 crystal (GGA-PBE, OQMD).

Summary:
- VASP energy: -131.242 eV for the cell shown
- Mass density: 6.46 g/cm3

a = 3.483 Å, b = 13.339 Å, c = 9.802 Å
α = 90.00°, β = 90.00°, γ = 90.00°
Space group Cmcm (No. 63)
Asymmetric unit:
Li: 0.000 0.190 0.250 x4
Ta: 0.000 0.000 0.000 x4
Cu: 0.000 0.473 0.750 x4
Te: 0.000 0.119 0.750 x4
S: 0.000 0.373 0.565 x8

No. 8
# YGaCoW

A relaxed YGaCoW crystal (GGA-PBE, OQMD).

Summary:
- Relative energy among the computed polymorphs: 0 meV/atom
- Mass density: 9.73 g/cm3

a = 6.494 Å, b = 6.494 Å, c = 6.494 Å
α = 90.00°, β = 90.00°, γ = 90.00°
Space group F-43m (No. 216)
Asymmetric unit:
Y: 0.000 0.000 0.000 x4
Ga: 0.000 0.000 0.500 x4
Co: 0.250 0.250 0.750 x4
W: 0.250 0.250 0.250 x4